Entry from the Alexandria database: Ca3MgTl4 after structural relaxation (GGA-PBE).

Cell: 3.828 3.828 15.366 Å, 90.00 90.00 90.00°
Positions (direct):
1 Ca 0.000 0.000 0.000
2 Ca 0.000 0.000 0.257
3 Ca 0.000 0.000 0.743
4 Mg 0.000 0.000 0.500
5 Tl 0.500 0.500 0.125
6 Tl 0.500 0.500 0.389
7 Tl 0.500 0.500 0.611
8 Tl 0.500 0.500 0.875

Its relative energy among the computed polymorphs is 0.000 eV per atom. The calculation puts the formation energy at -0.342 eV per atom. Its calculated volume is 225.11 Å³ per cell. Its mass density is 7.1 g/cm³.

=====

Entry from the Alexandria database: K6RbHgF after structural relaxation (GGA-PBE).

Cell: 8.041 8.041 10.575 Å, 90.00 90.00 120.00°
Positions (direct):
1 K 0.017 0.294 0.160
2 K 0.017 0.723 0.840
3 K 0.277 0.294 0.840
4 K 0.277 0.983 0.160
5 K 0.706 0.723 0.160
6 K 0.706 0.983 0.840
7 Rb 0.333 0.667 0.500
8 Hg 0.667 0.333 0.000
9 F 0.000 0.000 0.000

Its calculated volume is 592.17 Å³ per cell. As for the total energy: -14.4 eV per cell. Its mass density is 1.5 g/cm³.

=====

Entry from the Alexandria database: NbS2IN after structural relaxation (GGA-PBE).

Cell: 5.037 5.037 3.957 Å, 90.00 90.00 90.00°
Positions (direct):
1 Nb 0.000 0.000 0.000
2 S 0.000 0.500 0.000
3 S 0.500 0.000 0.000
4 I 0.500 0.500 0.500
5 N 0.000 0.000 0.500

Its relative energy among the computed polymorphs is 0.000 eV per atom. Its calculated volume is 100.38 Å³ per cell. Its mass density is 4.9 g/cm³.

=====

Entry from the Alexandria database: Li2Pr3Au3 after structural relaxation (GGA-PBE).

Cell: 5.948 5.948 15.104 Å, 90.00 90.00 134.67°
Positions (direct):
1 Li 0.222 0.778 0.589
2 Li 0.222 0.778 0.911
3 Li 0.778 0.222 0.089
4 Li 0.778 0.222 0.411
5 Pr 0.082 0.918 0.106
6 Pr 0.082 0.918 0.394
7 Pr 0.359 0.641 0.250
8 Pr 0.641 0.359 0.750
9 Pr 0.918 0.082 0.606
10 Pr 0.918 0.082 0.894
11 Au 0.350 0.650 0.750
12 Au 0.384 0.616 0.048
13 Au 0.384 0.616 0.452
14 Au 0.616 0.384 0.548
15 Au 0.616 0.384 0.952
16 Au 0.650 0.350 0.250

Its relative energy among the computed polymorphs is 0.000 eV per atom. The calculation puts the formation energy at -0.586 eV per atom. Its calculated volume is 379.95 Å³ per cell. Its mass density is 9.0 g/cm³.

=====

Entry from the Alexandria database: EuGdLuCd after structural relaxation (GGA-PBE).

Cell: 7.822 7.822 7.822 Å, 90.00 90.00 90.00°
Positions (direct):
1 Eu 0.000 0.000 0.000
2 Eu 0.000 0.500 0.500
3 Eu 0.500 0.000 0.500
4 Eu 0.500 0.500 0.000
5 Gd 0.000 0.000 0.500
6 Gd 0.000 0.500 0.000
7 Gd 0.500 0.000 0.000
8 Gd 0.500 0.500 0.500
9 Lu 0.250 0.250 0.250
10 Lu 0.250 0.750 0.750
11 Lu 0.750 0.250 0.750
12 Lu 0.750 0.750 0.250
13 Cd 0.250 0.250 0.750
14 Cd 0.250 0.750 0.250
15 Cd 0.750 0.250 0.250
16 Cd 0.750 0.750 0.750

The calculation puts the formation energy at -0.022 eV per atom. Its calculated volume is 478.56 Å³ per cell. Its mass density is 8.3 g/cm³.

=====

Entry from the Alexandria database: Pu2Zn15Ni2 after structural relaxation (GGA-PBE).

Cell: 6.746 6.746 6.746 Å, 82.86 82.86 82.86°
Positions (direct):
1 Pu 0.164 0.164 0.164
2 Pu 0.836 0.836 0.836
3 Zn 0.000 0.500 0.500
4 Zn 0.150 0.150 0.649
5 Zn 0.150 0.649 0.150
6 Zn 0.216 0.500 0.784
7 Zn 0.216 0.784 0.500
8 Zn 0.351 0.850 0.850
9 Zn 0.500 0.000 0.500
10 Zn 0.500 0.216 0.784
11 Zn 0.500 0.500 0.000
12 Zn 0.500 0.784 0.216
13 Zn 0.649 0.150 0.150
14 Zn 0.784 0.216 0.500
15 Zn 0.784 0.500 0.216
16 Zn 0.850 0.351 0.850
17 Zn 0.850 0.850 0.351
18 Ni 0.394 0.394 0.394
19 Ni 0.606 0.606 0.606

The calculation puts the formation energy at -0.131 eV per atom. Its calculated volume is 300.42 Å³ per cell. Its mass density is 8.8 g/cm³.

=====

Entry from the Alexandria database: LiZr2BAu after structural relaxation (GGA-PBE).

Cell: 5.356 5.356 4.000 Å, 90.00 90.00 90.00°
Positions (direct):
1 Li 0.000 0.000 0.000
2 Zr 0.000 0.500 0.500
3 Zr 0.500 0.000 0.500
4 B 0.500 0.500 0.000
5 Au 0.500 0.500 0.500

Its relative energy among the computed polymorphs is 1.007 eV per atom. The calculation puts the formation energy at 0.836 eV per atom. Its calculated volume is 114.71 Å³ per cell. Its mass density is 5.7 g/cm³.

=====

Entry from the Alexandria database: PmHo5In2 after structural relaxation (GGA-PBE).

Cell: 3.584 10.469 12.711 Å, 90.00 90.00 90.00°
Positions (direct):
1 Pm 0.000 0.000 0.000
2 Pm 0.500 0.500 0.500
3 Ho 0.000 0.226 0.365
4 Ho 0.000 0.226 0.635
5 Ho 0.000 0.500 0.000
6 Ho 0.000 0.774 0.365
7 Ho 0.000 0.774 0.635
8 Ho 0.500 0.000 0.500
9 Ho 0.500 0.274 0.135
10 Ho 0.500 0.274 0.865
11 Ho 0.500 0.726 0.135
12 Ho 0.500 0.726 0.865
13 In 0.000 0.500 0.259
14 In 0.000 0.500 0.741
15 In 0.500 0.000 0.241
16 In 0.500 0.000 0.759

The calculation puts the formation energy at -0.178 eV per atom. Its calculated volume is 476.90 Å³ per cell. Its mass density is 8.4 g/cm³.